VASP calculation (PBE+U) on a relaxed MgFeAs2O8 crystal.

Values from the calculation:
raw total energy	-5.98	eV per atom

a = 6.655 Å, b = 6.655 Å, c = 6.248 Å
α = 90.00°, β = 90.00°, γ = 90.00°
Space group I-4m2 (No. 119)
One atom of each set of equivalent atoms:
1 Mg 0.000 0.000 0.000
2 Fe 0.000 0.500 0.750
3 As 0.000 0.000 0.500
4 As 0.000 0.500 0.250
5 O 0.000 0.196 0.679
6 O 0.000 0.308 0.066